Below is a geometry-optimized DyAlGaNi2 structure, with properties calculated at the PBE level.

a b c (Å): 4.2000 6.6388 6.3447
angles (deg): 90.00 90.00 108.44
With the nearest neighbours (Å) after each atom.
Fractional positions:
Dy 0.3772 0.7543 0.7500  6 Ni 2.74-2.89, 4 Ga 3.05
Dy 0.6228 0.2457 0.2500  6 Ni 2.74-2.89, 4 Ga 3.05
Al 0.6718 0.3436 0.7500  6 Ni 2.51-2.52
Al 0.3282 0.6564 0.2500  6 Ni 2.51-2.52
Ga 0.0000 0.0000 0.0000  2 Ni 2.39
Ga 0.0000 0.0000 0.5000  2 Ni 2.39
Ni 0.1886 0.3772 0.9644  1 Ga 2.39, 3 Al 2.51-2.52, 2 Ni 2.65
Ni 0.8114 0.6228 0.0356  1 Ga 2.39, 3 Al 2.51-2.52, 2 Ni 2.65
Ni 0.1886 0.3772 0.5356  1 Ga 2.39, 3 Al 2.51-2.52, 2 Ni 2.65
Ni 0.8114 0.6228 0.4644  1 Ga 2.39, 3 Al 2.51-2.52, 2 Ni 2.65

crystal system = orthorhombic
final energy = -5.09 eV per atom
total magnetic moment = 0.0 Bohr magnetons per cell
symmetry = Cmcm